A plane-wave DFT calculation with PBE was carried out for YInNi after structural relaxation.

## Properties
Total energy   -4.963 eV/atom
Theoretical density   6.8 g/cm3
Magnetic moment   0.0 Bohr magnetons per cell
D(E_F)   2.27 states/eV/f.u.

CIF file:
```
data_YInNi
_cell_length_a 8.3173
_cell_length_b 8.3173
_cell_length_c 3.2270
_cell_angle_alpha 90.00
_cell_angle_beta 90.00
_cell_angle_gamma 120.00
_symmetry_space_group_name_H-M 'P -6 2 m'
_symmetry_Int_Tables_number 189
_symmetry_space_group_name_Hall 'P -6 -2'
loop_
_atom_site_label
_atom_site_fract_x
_atom_site_fract_y
_atom_site_fract_z
_atom_site_occupancy
Y1 0.0000 0.3032 0.0000 1
In1 0.0000 0.0000 0.5000 1
In2 0.3333 0.6667 0.0000 1
Ni1 0.0000 0.6233 0.5000 1
```